No. 1
This record from the Alexandria database describes an optimized crystal structure of AcTlSbO3. The functional is PBE.

Geometry as POSCAR:
```
AcTlSbO3
1.0
4.227 0.000 0.000
-2.113 7.112 -0.126
0.000 -2.209 8.375
O Tl Sb Ac
6 2 2 2
Direct
0.830 0.661 0.583 O
0.170 0.339 0.417 O
0.521 0.042 0.343 O
0.808 0.615 0.216 O
0.479 0.958 0.657 O
0.192 0.385 0.784 O
0.356 0.712 0.951 Tl
0.644 0.288 0.049 Tl
0.025 0.050 0.296 Sb
0.975 0.950 0.704 Sb
0.340 0.679 0.389 Ac
0.660 0.321 0.611 Ac
```

**Density of states at the Fermi level**: 0.036 states/eV/atom
**M_tot**: 0.0 μB per formula unit
**Raw formation energy**: -41.31 kcal/mol of atoms
**E**: -72.4 eV for the cell shown



No. 2
This record from the Alexandria database describes an optimized crystal structure of TaOsW2. The functional is PBE.

Geometry as POSCAR:
```
TaOsW2
1.0
-0.352 3.451 2.871
1.922 -0.247 4.064
3.608 2.523 0.941
Ta Os W
1 1 2
Direct
0.750 0.750 0.750 Ta
0.500 0.500 0.500 Os
0.250 0.250 0.250 W
0.000 0.000 0.000 W
```

**Density of states at the Fermi level**: 0.606 states/eV/atom
**Energy relative to the elements**: -57.6 meV per atom
**M_tot**: 0.0 μB per formula unit
**Excess energy over the best structure of this formula in the dataset**: 0.0 meV/atom
**E**: -49.2 eV for the cell shown



No. 3
This record from the Alexandria database describes an optimized crystal structure of SiP2Se. The functional is PBE.

Geometry as POSCAR:
```
SiP2Se
1.0
5.513 -0.003 0.005
2.753 4.776 -0.005
-3.760 -3.032 2.657
P Se Si
2 1 1
Direct
0.433 0.433 0.000 P
0.067 0.067 0.000 P
0.750 0.250 0.500 Se
0.250 0.750 0.500 Si
```

**Density of states at the Fermi level**: 0.480 states/eV/atom
**M_tot**: 0.0 μB per formula unit
**Excess energy over the best structure of this formula in the dataset**: 569.5 meV/atom
**Raw formation energy**: 11.92 kcal/mol of atoms
**E**: -17.7 eV for the cell shown



No. 4
This record from the Alexandria database describes an optimized crystal structure of RbCo. The functional is PBE.

Geometry as POSCAR:
```
RbCo
1.0
10.046 0.000 0.000
0.000 10.046 0.000
0.000 0.000 10.046
Rb Co
6 6
Direct
0.500 0.750 0.000 Rb
0.500 0.250 0.000 Rb
0.750 0.000 0.500 Rb
0.000 0.500 0.250 Rb
0.250 0.000 0.500 Rb
0.000 0.500 0.750 Rb
0.500 0.000 0.250 Co
0.000 0.250 0.500 Co
0.750 0.500 0.000 Co
0.000 0.750 0.500 Co
0.500 0.000 0.750 Co
0.250 0.500 0.000 Co
```

**Energy relative to the elements**: 1689.3 meV per atom
**M_tot**: 2.0 μB per formula unit
**Excess energy over the best structure of this formula in the dataset**: 1011.8 meV/atom
**E**: -28.2 eV for the cell shown



No. 5
This record from the Alexandria database describes an optimized crystal structure of Tl2IrRh2O6. The functional is PBE.

Geometry as POSCAR:
```
Tl2IrRh2O6
1.0
-1.982 4.081 -3.151
2.807 -4.152 -2.321
-5.639 -3.173 1.067
Rh Tl O Ir
2 2 6 1
Direct
0.666 0.334 0.500 Rh
0.334 0.666 0.500 Rh
0.833 0.167 0.000 Tl
0.167 0.833 0.000 Tl
0.719 0.719 0.652 O
0.618 0.949 0.349 O
0.949 0.618 0.349 O
0.051 0.382 0.651 O
0.281 0.281 0.348 O
0.382 0.051 0.651 O
0.000 0.000 0.500 Ir
```

**Density of states at the Fermi level**: 0.764 states/eV/atom
**M_tot**: 0.0 μB per formula unit
**Raw formation energy**: -14.98 kcal/mol of atoms
**E**: -65.2 eV for the cell shown



No. 6
This record from the Alexandria database describes an optimized crystal structure of Na2ZrPt3O12. The functional is PBE.

Geometry as POSCAR:
```
Na2ZrPt3O12
1.0
-3.010 3.559 -5.926
-5.172 -3.201 -4.454
-7.189 2.268 -0.146
Na O Pt Zr
2 12 3 1
Direct
0.698 0.698 0.698 Na
0.302 0.302 0.302 Na
0.324 0.324 0.928 O
0.664 0.071 0.071 O
0.929 0.929 0.336 O
0.324 0.928 0.324 O
0.071 0.664 0.071 O
0.336 0.929 0.929 O
0.929 0.336 0.929 O
0.676 0.072 0.676 O
0.071 0.071 0.664 O
0.928 0.324 0.324 O
0.072 0.676 0.676 O
0.676 0.676 0.072 O
0.000 0.000 0.500 Pt
0.000 0.500 0.000 Pt
0.500 0.000 0.000 Pt
0.000 0.000 0.000 Zr
```

**Density of states at the Fermi level**: 0.697 states/eV/atom
**M_tot**: 4.4 μB per formula unit
**Raw formation energy**: -20.16 kcal/mol of atoms
**E**: -104.5 eV for the cell shown



No. 7
This record from the Alexandria database describes an optimized crystal structure of BaNa2MgF. The functional is PBE.

Geometry as POSCAR:
```
BaNa2MgF
1.0
-5.222 -0.653 -1.264
-0.466 -3.758 3.866
-1.309 3.738 3.476
Na Mg Ba F
2 1 1 1
Direct
0.500 0.000 0.000 Na
0.000 0.500 0.000 Na
0.500 0.500 0.500 Mg
0.000 0.000 0.500 Ba
0.000 0.000 0.000 F
```

**Density of states at the Fermi level**: 0.501 states/eV/atom
**M_tot**: 0.0 μB per formula unit
**Raw formation energy**: -22.71 kcal/mol of atoms
**E**: -13.0 eV for the cell shown



No. 8
This record from the Alexandria database describes an optimized crystal structure of TaCrFe2. The functional is PBE.

Geometry as POSCAR:
```
TaCrFe2
1.0
2.993 0.224 0.000
-0.225 2.993 0.000
0.000 0.000 5.873
Fe Cr Ta
2 1 1
Direct
0.000 0.000 0.999 Fe
0.500 0.500 0.235 Fe
0.500 0.500 0.775 Cr
0.000 0.000 0.491 Ta
```

**Density of states at the Fermi level**: 0.565 states/eV/atom
**Energy relative to the elements**: 4.2 meV per atom
**M_tot**: 2.8 μB per formula unit
**E**: -38.4 eV for the cell shown



No. 9
This record from the Alexandria database describes an optimized crystal structure of YMg2Cu4. The functional is PBE.

Geometry as POSCAR:
```
YMg2Cu4
1.0
-3.702 3.702 2.800
3.702 -3.702 2.800
3.702 3.702 -2.800
Mg Cu Y
2 4 1
Direct
0.250 0.750 0.500 Mg
0.750 0.250 0.500 Mg
0.500 0.719 0.219 Cu
0.281 0.500 0.781 Cu
0.500 0.281 0.781 Cu
0.719 0.500 0.219 Cu
0.000 0.000 0.000 Y
```

**Density of states at the Fermi level**: 0.497 states/eV/atom
**Energy relative to the elements**: 406.3 meV per atom
**M_tot**: 0.0 μB per formula unit
**Excess energy over the best structure of this formula in the dataset**: 588.6 meV/atom
**E**: -23.2 eV for the cell shown



No. 10
This record from the Alexandria database describes an optimized crystal structure of Sr2GeSbAu6. The functional is PBE.

Geometry as POSCAR:
```
Sr2GeSbAu6
1.0
7.306 0.000 0.000
0.000 7.603 0.000
0.000 0.000 9.105
Au Sb Ge Sr
12 2 2 4
Direct
0.500 0.271 0.251 Au
0.000 0.729 0.249 Au
0.000 0.729 0.751 Au
0.185 0.542 0.500 Au
0.315 0.458 0.000 Au
0.500 0.271 0.749 Au
0.308 0.104 0.500 Au
0.815 0.542 0.500 Au
0.808 0.896 0.000 Au
0.685 0.458 0.000 Au
0.192 0.896 0.000 Au
0.692 0.104 0.500 Au
0.000 0.918 0.500 Sb
0.500 0.082 0.000 Sb
0.500 0.426 0.500 Ge
0.000 0.574 0.000 Ge
0.500 0.751 0.739 Sr
0.000 0.249 0.239 Sr
0.000 0.249 0.761 Sr
0.500 0.751 0.261 Sr
```

**Density of states at the Fermi level**: 0.388 states/eV/atom
**M_tot**: 0.0 μB per formula unit
**Raw formation energy**: -10.57 kcal/mol of atoms
**E**: -72.7 eV for the cell shown



No. 11
This record from the Alexandria database describes an optimized crystal structure of AlZnAgOs2. The functional is PBE.

Geometry as POSCAR:
```
AlZnAgOs2
1.0
4.855 0.000 0.000
0.000 4.488 0.000
0.000 0.000 4.855
Zn Os Al Ag
1 2 1 1
Direct
0.000 0.500 0.000 Zn
0.500 0.000 0.000 Os
0.000 0.000 0.500 Os
0.500 0.500 0.500 Al
0.000 0.000 0.000 Ag
```

**Density of states at the Fermi level**: 1.300 states/eV/atom
**Energy relative to the elements**: 2115.7 meV per atom
**M_tot**: 1.9 μB per formula unit
**E**: -19.7 eV for the cell shown



No. 12
This record from the Alexandria database describes an optimized crystal structure of Mn2V8Co. The functional is PBE.

Geometry as POSCAR:
```
Mn2V8Co
1.0
-1.274 -2.743 2.794
-1.642 -4.023 -4.698
6.196 1.198 0.968
V Mn Co
8 2 1
Direct
0.681 0.915 0.363 V
0.139 0.189 0.278 V
0.047 0.727 0.095 V
0.861 0.811 0.722 V
0.405 0.545 0.811 V
0.319 0.085 0.637 V
0.595 0.455 0.189 V
0.953 0.273 0.905 V
0.227 0.636 0.455 Mn
0.773 0.364 0.545 Mn
0.500 0.000 0.000 Co
```

**Density of states at the Fermi level**: 0.735 states/eV/atom
**Energy relative to the elements**: -156.7 meV per atom
**M_tot**: 0.0 μB per formula unit
**E**: -100.1 eV for the cell shown



No. 13
This record from the Alexandria database describes an optimized crystal structure of AcEuHoTm. The functional is PBE.

Geometry as POSCAR:
```
AcEuHoTm
1.0
5.901 0.000 0.000
2.951 5.111 0.000
2.951 1.704 4.818
Eu Tm Ac Ho
1 1 1 1
Direct
0.000 0.000 0.000 Eu
0.750 0.750 0.750 Tm
0.250 0.250 0.250 Ac
0.500 0.500 0.500 Ho
```

**Density of states at the Fermi level**: 1.391 states/eV/atom
**Energy relative to the elements**: 154.7 meV per atom
**M_tot**: 7.8 μB per formula unit
**E**: -22.8 eV for the cell shown



No. 14
This record from the Alexandria database describes an optimized crystal structure of KCo3N. The functional is PBE.

Geometry as POSCAR:
```
KCo3N
1.0
4.026 0.000 0.000
0.000 4.026 0.000
0.000 0.000 4.026
Co N K
3 1 1
Direct
0.500 0.000 0.000 Co
0.000 0.500 0.000 Co
0.000 0.000 0.500 Co
0.000 0.000 0.000 N
0.500 0.500 0.500 K
```

**Density of states at the Fermi level**: 1.901 states/eV/atom
**M_tot**: 4.8 μB per formula unit
**Excess energy over the best structure of this formula in the dataset**: 0.0 meV/atom
**Raw formation energy**: 16.75 kcal/mol of atoms
**E**: -27.1 eV for the cell shown



No. 15
This record from the Alexandria database describes an optimized crystal structure of Ti2Co2Ag. The functional is PBE.

Geometry as POSCAR:
```
Ti2Co2Ag
1.0
-2.815 0.183 -6.636
-4.021 -5.783 1.546
-2.041 1.663 0.911
Ti Ag Co
4 2 4
Direct
0.646 0.146 0.000 Ti
0.854 0.646 0.000 Ti
0.354 0.854 0.000 Ti
0.146 0.354 0.000 Ti
0.500 0.500 0.000 Ag
0.000 0.000 0.000 Ag
0.141 0.641 0.500 Co
0.859 0.359 0.500 Co
0.641 0.859 0.500 Co
0.359 0.141 0.500 Co
```

**Density of states at the Fermi level**: 1.099 states/eV/atom
**Energy relative to the elements**: -64.1 meV per atom
**M_tot**: 0.0 μB per formula unit
**Excess energy over the best structure of this formula in the dataset**: 165.5 meV/atom
**E**: -66.3 eV for the cell shown



No. 16
This record from the Alexandria database describes an optimized crystal structure of TlAg2Ru. The functional is PBE.

Geometry as POSCAR:
```
TlAg2Ru
1.0
-2.062 -1.958 -0.664
1.890 -1.404 -1.728
2.621 -5.151 7.051
Ru Ag Tl
1 2 1
Direct
0.500 0.500 0.250 Ru
0.000 0.000 0.468 Ag
0.000 0.000 0.032 Ag
0.500 0.500 0.750 Tl
```

**Density of states at the Fermi level**: 0.592 states/eV/atom
**Energy relative to the elements**: 519.8 meV per atom
**M_tot**: 1.6 μB per formula unit
**Excess energy over the best structure of this formula in the dataset**: 126.3 meV/atom
**E**: -15.3 eV for the cell shown



No. 17
This record from the Alexandria database describes an optimized crystal structure of CsTl2Sb2. The functional is PBE.

Geometry as POSCAR:
```
CsTl2Sb2
1.0
5.051 0.000 0.000
0.000 5.822 -0.309
-2.526 -2.003 6.780
Tl Sb Cs
2 2 1
Direct
0.626 0.551 0.253 Tl
0.374 0.449 0.747 Tl
0.744 0.146 0.488 Sb
0.256 0.854 0.512 Sb
0.000 0.000 0.000 Cs
```

**Density of states at the Fermi level**: 0.451 states/eV/atom
**M_tot**: 0.0 μB per formula unit
**Excess energy over the best structure of this formula in the dataset**: 57.0 meV/atom
**Raw formation energy**: -3.48 kcal/mol of atoms
**E**: -14.6 eV for the cell shown



No. 18
This record from the Alexandria database describes an optimized crystal structure of Cs8Au5O. The functional is PBE.

Geometry as POSCAR:
```
Cs8Au5O
1.0
-4.466 1.175 -8.247
9.374 -0.048 -1.207
-2.997 -8.239 3.530
Cs O Au
8 1 5
Direct
0.750 0.235 0.348 Cs
0.155 0.708 0.961 Cs
0.485 0.598 0.250 Cs
0.113 0.765 0.515 Cs
0.254 0.292 0.448 Cs
0.552 0.806 0.845 Cs
0.652 0.402 0.887 Cs
0.039 0.194 0.746 Cs
0.250 0.500 0.750 O
0.018 0.393 0.142 Au
0.749 0.607 0.624 Au
0.858 0.876 0.251 Au
0.376 0.124 0.982 Au
0.500 0.000 0.500 Au
```

**Density of states at the Fermi level**: 0.497 states/eV/atom
**M_tot**: 0.0 μB per formula unit
**Raw formation energy**: -9.70 kcal/mol of atoms
**E**: -34.1 eV for the cell shown



No. 19
This record from the Alexandria database describes an optimized crystal structure of KCu2Ag. The functional is PBE.

Geometry as POSCAR:
```
KCu2Ag
1.0
4.865 0.000 0.000
0.000 4.865 0.000
2.432 2.432 9.047
Cu Ag K
4 2 2
Direct
0.875 0.125 0.750 Cu
0.375 0.125 0.750 Cu
0.875 0.625 0.250 Cu
0.875 0.125 0.250 Cu
0.000 0.000 0.000 Ag
0.750 0.250 0.500 Ag
0.500 0.500 0.000 K
0.250 0.750 0.500 K
```

**Density of states at the Fermi level**: 0.242 states/eV/atom
**Energy relative to the elements**: 317.7 meV per atom
**M_tot**: 0.0 μB per formula unit
**Excess energy over the best structure of this formula in the dataset**: 17.6 meV/atom
**E**: -21.7 eV for the cell shown



No. 20
This record from the Alexandria database describes an optimized crystal structure of KZnCu2. The functional is PBE.

Geometry as POSCAR:
```
KZnCu2
1.0
-1.283 1.776 1.708
-1.784 -2.889 1.664
5.562 -0.642 4.847
Cu K Zn
2 1 1
Direct
0.000 0.000 0.586 Cu
0.000 0.000 0.914 Cu
0.500 0.500 0.250 K
0.500 0.500 0.750 Zn
```

**Density of states at the Fermi level**: 0.180 states/eV/atom
**Energy relative to the elements**: 265.9 meV per atom
**M_tot**: 0.0 μB per formula unit
**E**: -9.5 eV for the cell shown



No. 21
This record from the Alexandria database describes an optimized crystal structure of SmMgSi. The functional is PBE.

Geometry as POSCAR:
```
SmMgSi
1.0
-0.469 -2.433 2.924
3.351 1.687 1.941
-6.956 5.012 3.055
Mg Si Sm
2 2 2
Direct
0.250 0.709 0.417 Mg
0.750 0.291 0.583 Mg
0.750 0.458 0.916 Si
0.250 0.542 0.084 Si
0.750 0.089 0.178 Sm
0.250 0.911 0.822 Sm
```

**Density of states at the Fermi level**: 0.578 states/eV/atom
**M_tot**: 0.0 μB per formula unit
**Raw formation energy**: -10.44 kcal/mol of atoms
**E**: -26.2 eV for the cell shown



No. 22
This record from the Alexandria database describes an optimized crystal structure of NaCaZn. The functional is PBE.

Geometry as POSCAR:
```
NaCaZn
1.0
4.301 -0.003 0.039
2.147 3.727 0.018
-0.170 -0.023 12.710
Ca Zn Na
2 2 2
Direct
0.999 0.499 0.847 Ca
0.001 0.501 0.153 Ca
0.333 0.833 0.998 Zn
0.667 0.167 0.002 Zn
0.669 0.169 0.392 Na
0.331 0.831 0.608 Na
```

**Density of states at the Fermi level**: 0.746 states/eV/atom
**Energy relative to the elements**: -97.2 meV per atom
**M_tot**: 0.0 μB per formula unit
**Excess energy over the best structure of this formula in the dataset**: 36.2 meV/atom
**E**: -9.8 eV for the cell shown



No. 23
This record from the Alexandria database describes an optimized crystal structure of In2PtSCl. The functional is PBE.

Geometry as POSCAR:
```
In2PtSCl
1.0
-0.665 5.338 2.085
-3.314 -1.418 2.575
3.771 -1.173 4.206
Cl Pt S In
1 1 1 2
Direct
0.000 0.000 0.000 Cl
0.000 0.500 0.000 Pt
0.500 0.500 0.500 S
0.500 0.000 0.000 In
0.000 0.000 0.500 In
```

**Density of states at the Fermi level**: 1.060 states/eV/atom
**M_tot**: 0.7 μB per formula unit
**Raw formation energy**: 10.90 kcal/mol of atoms
**E**: -15.1 eV for the cell shown